# Tb2DyBi (GGA-PBE, optimized geometry)
# - Crystal system: trigonal
# - E_form: -0.7 eV/f.u.
# - D(E_F): 5.2 states/eV/f.u.
# - Total magnetic moment: 0.69 μB per formula unit
data_Tb2DyBi
_cell_length_a 4.0416
_cell_length_b 4.0416
_cell_length_c 28.6249
_cell_angle_alpha 90.00
_cell_angle_beta 90.00
_cell_angle_gamma 120.00
_symmetry_space_group_name_H-M 'R 3 m'
_symmetry_Int_Tables_number 160
_symmetry_space_group_name_Hall 'R 3 -2"'
loop_
_atom_site_label
_atom_site_type_symbol
_atom_site_fract_x
_atom_site_fract_y
_atom_site_fract_z
Tb1 Tb 0.0000 0.0000 0.0000
Tb2 Tb 0.0000 0.0000 0.1919
Dy1 Dy 0.0000 0.0000 0.4296
Bi1 Bi 0.0000 0.0000 0.5956

---

# TbDy2Bi3 (GGA-PBE, optimized geometry)
# - Crystal system: orthorhombic
# - E_form: -5.2 eV/f.u.
# - D(E_F): 1.3 states/eV/f.u.
# - Total magnetic moment: 0.00 μB per formula unit
data_TbDy2Bi3
_cell_length_a 4.4789
_cell_length_b 6.3292
_cell_length_c 13.4398
_cell_angle_alpha 90.00
_cell_angle_beta 90.00
_cell_angle_gamma 90.00
_symmetry_space_group_name_H-M 'I m m m'
_symmetry_Int_Tables_number 71
_symmetry_space_group_name_Hall '-I 2 2'
loop_
_atom_site_label
_atom_site_type_symbol
_atom_site_fract_x
_atom_site_fract_y
_atom_site_fract_z
Tb1 Tb 0.0000 0.0000 0.0000
Dy1 Dy 0.0000 0.0000 0.3335
Bi1 Bi 0.0000 0.5000 0.0000
Bi2 Bi 0.0000 0.5000 0.3328

---

# Tb3Dy4Bi8 (GGA-PBE, optimized geometry)
# - Crystal system: monoclinic
# - E_form: -10.2 eV/f.u.
# - D(E_F): 8.4 states/eV/f.u.
# - Total magnetic moment: 0.00 μB per formula unit
data_Tb3Dy4Bi8
_cell_length_a 12.6151
_cell_length_b 12.6176
_cell_length_c 8.9171
_cell_angle_alpha 90.00
_cell_angle_beta 134.96
_cell_angle_gamma 90.00
_symmetry_space_group_name_H-M 'C 1 2/m 1'
_symmetry_Int_Tables_number 12
loop_
_symmetry_equiv_pos_as_xyz
'x,y,z'
'-x,-y,-z'
'-x,y,-z'
'x,-y,z'
'x+1/2,y+1/2,z'
'-x+1/2,-y+1/2,-z'
'-x+1/2,y+1/2,-z'
'x+1/2,-y+1/2,z'
loop_
_atom_site_label
_atom_site_type_symbol
_atom_site_fract_x
_atom_site_fract_y
_atom_site_fract_z
Tb1 Tb 0.0000 0.0000 0.0000
Tb2 Tb 0.2500 0.2500 0.0000
Dy1 Dy 0.0000 0.5000 0.0000
Dy2 Dy 0.0000 0.5000 0.5000
Dy3 Dy 0.2500 0.2500 0.5000
Bi1 Bi 0.0000 0.2455 0.5000
Bi2 Bi 0.0000 0.2504 0.0000
Bi3 Bi 0.2458 0.0000 0.5009
Bi4 Bi 0.2460 0.0000 0.9911

---

# Tb4Dy3Bi4 (GGA-PBE, optimized geometry)
# - Crystal system: orthorhombic
# - E_form: -5.9 eV/f.u.
# - D(E_F): 13.3 states/eV/f.u.
# - Total magnetic moment: 1.99 μB per formula unit
data_Tb4Dy3Bi4
_cell_length_a 4.0673
_cell_length_b 9.3318
_cell_length_c 17.8636
_cell_angle_alpha 90.00
_cell_angle_beta 90.00
_cell_angle_gamma 90.00
_symmetry_space_group_name_H-M 'I m m m'
_symmetry_Int_Tables_number 71
_symmetry_space_group_name_Hall '-I 2 2'
loop_
_atom_site_label
_atom_site_type_symbol
_atom_site_fract_x
_atom_site_fract_y
_atom_site_fract_z
Tb1 Tb 0.0000 0.1835 0.1657
Dy1 Dy 0.0000 0.0000 0.3987
Dy2 Dy 0.0000 0.5000 0.5000
Bi1 Bi 0.0000 0.2948 0.0000
Bi2 Bi 0.0000 0.5000 0.2359

---

# Tb2Dy5Bi5 (GGA-PBE, optimized geometry)
# - Crystal system: monoclinic
# - E_form: -7.1 eV/f.u.
# - D(E_F): 7.9 states/eV/f.u.
# - Total magnetic moment: 0.00 μB per formula unit
data_Tb2Dy5Bi5
_cell_length_a 14.5996
_cell_length_b 4.4390
_cell_length_c 12.7482
_cell_angle_alpha 90.00
_cell_angle_beta 111.34
_cell_angle_gamma 90.00
_symmetry_space_group_name_H-M 'C 1 2/m 1'
_symmetry_Int_Tables_number 12
loop_
_symmetry_equiv_pos_as_xyz
'x,y,z'
'-x,-y,-z'
'-x,y,-z'
'x,-y,z'
'x+1/2,y+1/2,z'
'-x+1/2,-y+1/2,-z'
'-x+1/2,y+1/2,-z'
'x+1/2,-y+1/2,z'
loop_
_atom_site_label
_atom_site_type_symbol
_atom_site_fract_x
_atom_site_fract_y
_atom_site_fract_z
Tb1 Tb 0.0482 0.0000 0.2855
Dy1 Dy 0.0000 0.5000 0.0000
Dy2 Dy 0.1621 0.5000 0.5310
Dy3 Dy 0.2097 0.5000 0.8345
Bi1 Bi 0.0000 0.0000 0.5000
Bi2 Bi 0.1210 0.0000 0.9391
Bi3 Bi 0.1984 0.5000 0.2846

---

# TbDy5Bi4 (GGA-PBE, optimized geometry)
# - Crystal system: monoclinic
# - E_form: -5.6 eV/f.u.
# - D(E_F): 7.3 states/eV/f.u.
# - Total magnetic moment: 2.08 μB per formula unit
data_TbDy5Bi4
_cell_length_a 19.8277
_cell_length_b 4.4006
_cell_length_c 7.7450
_cell_angle_alpha 90.00
_cell_angle_beta 101.57
_cell_angle_gamma 90.00
_symmetry_space_group_name_H-M 'C 1 2/m 1'
_symmetry_Int_Tables_number 12
loop_
_symmetry_equiv_pos_as_xyz
'x,y,z'
'-x,-y,-z'
'-x,y,-z'
'x,-y,z'
'x+1/2,y+1/2,z'
'-x+1/2,-y+1/2,-z'
'-x+1/2,y+1/2,-z'
'x+1/2,-y+1/2,z'
loop_
_atom_site_label
_atom_site_type_symbol
_atom_site_fract_x
_atom_site_fract_y
_atom_site_fract_z
Tb1 Tb 0.0000 0.0000 0.0000
Dy1 Dy 0.0000 0.0000 0.5000
Dy2 Dy 0.1880 0.5000 0.0866
Dy3 Dy 0.1952 0.5000 0.6122
Bi1 Bi 0.0617 0.5000 0.7792
Bi2 Bi 0.1350 0.0000 0.3258

---

# TbDy4Bi2 (GGA-PBE, optimized geometry)
# - Crystal system: tetragonal
# - E_form: 2.1 eV/f.u.
# - D(E_F): 5.9 states/eV/f.u.
# - Total magnetic moment: 0.00 μB per formula unit
data_TbDy4Bi2
_cell_length_a 5.3246
_cell_length_b 5.3246
_cell_length_c 16.7491
_cell_angle_alpha 90.00
_cell_angle_beta 90.00
_cell_angle_gamma 90.00
_symmetry_space_group_name_H-M 'I 4/m m m'
_symmetry_Int_Tables_number 139
_symmetry_space_group_name_Hall '-I 4 2'
loop_
_atom_site_label
_atom_site_type_symbol
_atom_site_fract_x
_atom_site_fract_y
_atom_site_fract_z
Tb1 Tb 0.0000 0.0000 0.0000
Dy1 Dy 0.0000 0.0000 0.1811
Dy2 Dy 0.0000 0.5000 0.0000
Bi1 Bi 0.0000 0.0000 0.3651

---

# Tb4Dy3Bi8 (GGA-PBE, optimized geometry)
# - Crystal system: monoclinic
# - E_form: -10.3 eV/f.u.
# - D(E_F): 8.3 states/eV/f.u.
# - Total magnetic moment: 0.00 μB per formula unit
data_Tb4Dy3Bi8
_cell_length_a 12.6205
_cell_length_b 12.6211
_cell_length_c 8.9191
_cell_angle_alpha 90.00
_cell_angle_beta 134.97
_cell_angle_gamma 90.00
_symmetry_space_group_name_H-M 'C 1 2/m 1'
_symmetry_Int_Tables_number 12
loop_
_symmetry_equiv_pos_as_xyz
'x,y,z'
'-x,-y,-z'
'-x,y,-z'
'x,-y,z'
'x+1/2,y+1/2,z'
'-x+1/2,-y+1/2,-z'
'-x+1/2,y+1/2,-z'
'x+1/2,-y+1/2,z'
loop_
_atom_site_label
_atom_site_type_symbol
_atom_site_fract_x
_atom_site_fract_y
_atom_site_fract_z
Tb1 Tb 0.0000 0.0000 0.0000
Tb2 Tb 0.0000 0.5000 0.5000
Tb3 Tb 0.2500 0.2500 0.0000
Dy1 Dy 0.0000 0.5000 0.0000
Dy2 Dy 0.2500 0.2500 0.5000
Bi1 Bi 0.0000 0.2450 0.5000
Bi2 Bi 0.0000 0.2504 0.0000
Bi3 Bi 0.2454 0.0000 0.5008
Bi4 Bi 0.2454 0.0000 0.9899